w:
A plane-wave DFT calculation with PBE-GGA was carried out for an optimized crystal structure of SrTb2Pt.

The structure belongs to space group R3m (No. 160, hexagonal axes); the cell edges are 4.2071, 4.2071 and 28.1069 Å and the angles 90.00°, 90.00° and 120.00°. Symmetry generates all atoms from Sr at (0.0000, 0.0000, 0.0000), Tb at (0.0000, 0.0000, 0.5492), Tb at (0.0000, 0.0000, 0.7811) and Pt at (0.0000, 0.0000, 0.1653).

For the spin magnetization, the calculation gives 0.0 μB per formula unit. The calculation puts the volume at 35.9 Å³/atom.

=====

x:
A plane-wave DFT calculation with PBE-GGA was carried out for an optimized crystal structure of SrTb2Pt.

The structure belongs to space group R-3m (No. 166, hexagonal axes); the cell edges are 4.1748, 4.1748 and 28.9558 Å and the angles 90.00°, 90.00° and 120.00°. Symmetry generates all atoms from Sr at (0.0000, 0.0000, 0.0000), Tb at (0.0000, 0.0000, 0.2169) and Pt at (0.0000, 0.0000, 0.5000).

For the spin magnetization, the calculation gives 0.0 μB per formula unit. The calculation puts the volume at 36.4 Å³/atom.

=====

Stability summary - winner: w; margin: 1.9 kJ/mol of atoms.

=====

w:
A plane-wave DFT calculation with PBE-GGA was carried out for an optimized crystal structure of SrTbPt.

The structure belongs to space group I4mm (No. 107); the cell edges are 3.650, 3.650 and 13.454 Å and the angles 90.00°, 90.00° and 90.00°. Symmetry generates all atoms from Sr at (0.000, 0.000, 0.000), Tb at (0.000, 0.000, 0.255) and Pt at (0.000, 0.000, 0.654).

For the spin magnetization, the calculation gives 0.0 μB per formula unit. The calculation puts the volume at 29.9 Å³/atom.

=====

x:
A plane-wave DFT calculation with PBE-GGA was carried out for an optimized crystal structure of SrTbPt.

The structure belongs to space group P3m1 (No. 156); the cell edges are 4.2297, 4.2297 and 6.7831 Å and the angles 90.00°, 90.00° and 120.00°. Symmetry generates all atoms from Sr at (0.0000, 0.0000, 0.0000), Tb at (0.6667, 0.3333, 0.4678) and Pt at (0.3333, 0.6667, 0.2740).

For the spin magnetization, the calculation gives 0.0 μB per formula unit. The calculation puts the volume at 35.0 Å³/atom.

=====

Stability summary - winner: w; margin: 1.2 kJ/mol of atoms.

=====

w:
A plane-wave DFT calculation with PBE-GGA was carried out for an optimized crystal structure of SrTbPt2.

The structure belongs to space group P4/mmm (No. 123); the cell edges are 3.561, 3.561 and 7.366 Å and the angles 90.00°, 90.00° and 90.00°. Symmetry generates all atoms from Sr at (0.000, 0.000, 0.000), Tb at (0.000, 0.000, 0.500) and Pt at (0.500, 0.500, 0.287).

For the spin magnetization, the calculation gives 0.0 μB per formula unit. The calculation puts the volume at 23.4 Å³/atom.

=====

x:
A plane-wave DFT calculation with PBE-GGA was carried out for an optimized crystal structure of SrTbPt2.

The structure belongs to space group Fm-3m (No. 225); the cell edges are 7.150, 7.150 and 7.150 Å and the angles 90.00°, 90.00° and 90.00°. Symmetry generates all atoms from Sr at (0.000, 0.000, 0.000), Tb at (0.000, 0.000, 0.500) and Pt at (0.250, 0.250, 0.250).

For the spin magnetization, the calculation gives 0.0 μB per formula unit. The calculation puts the volume at 22.8 Å³/atom.

=====

Stability summary - winner: w; margin: 10.3 kJ/mol of atoms.

=====

w:
A plane-wave DFT calculation with PBE-GGA was carried out for an optimized crystal structure of SrTc2Pt.

The structure belongs to space group P4mm (No. 99); the cell edges are 3.102, 3.102 and 7.953 Å and the angles 90.00°, 90.00° and 90.00°. Symmetry generates all atoms from Sr at (0.000, 0.000, 0.000), Tc at (0.000, 0.000, 0.481), Tc at (0.500, 0.500, 0.320) and Pt at (0.500, 0.500, 0.711).

For the spin magnetization, the calculation gives 0.0 μB per formula unit. The calculation puts the volume at 19.1 Å³/atom.

=====

x:
A plane-wave DFT calculation with PBE-GGA was carried out for an optimized crystal structure of SrTc2Pt.

The structure belongs to space group I-42d (No. 122); the cell edges are 4.484, 4.484 and 19.174 Å and the angles 90.00°, 90.00° and 90.00°. Symmetry generates all atoms from Sr at (0.000, 0.000, 0.000), Tc at (0.064, 0.250, 0.625) and Pt at (0.000, 0.000, 0.500).

For the spin magnetization, the calculation gives 0.0 μB per formula unit. The calculation puts the volume at 24.1 Å³/atom.

=====

Stability summary - winner: w; margin: 37.8 kJ/mol of atoms.

=====

w:
A plane-wave DFT calculation with PBE-GGA was carried out for an optimized crystal structure of SrTc2Pt.

The structure belongs to space group Immm (No. 71); the cell edges are 2.832, 4.857 and 10.939 Å and the angles 90.00°, 90.00° and 90.00°. Symmetry generates all atoms from Sr at (0.000, 0.000, 0.000), Tc at (0.000, 0.500, 0.216) and Pt at (0.000, 0.000, 0.500).

For the spin magnetization, the calculation gives 0.0 μB per formula unit. The calculation puts the volume at 18.8 Å³/atom.

=====

x:
A plane-wave DFT calculation with PBE-GGA was carried out for an optimized crystal structure of SrTc2Pt.

The structure belongs to space group P4/mmm (No. 123); the cell edges are 2.793, 2.793 and 9.283 Å and the angles 90.00°, 90.00° and 90.00°. Symmetry generates all atoms from Sr at (0.000, 0.000, 0.000), Tc at (0.500, 0.500, 0.288) and Pt at (0.000, 0.000, 0.500).

For the spin magnetization, the calculation gives 0.0 μB per formula unit. The calculation puts the volume at 18.1 Å³/atom.

=====

y:
A plane-wave DFT calculation with PBE-GGA was carried out for an optimized crystal structure of SrTc2Pt.

The structure belongs to space group P4/mmm (No. 123); the cell edges are 3.414, 3.414 and 7.141 Å and the angles 90.00°, 90.00° and 90.00°. Symmetry generates all atoms from Sr at (0.000, 0.000, 0.000), Tc at (0.500, 0.500, 0.334) and Pt at (0.000, 0.000, 0.500).

For the spin magnetization, the calculation gives 0.0 μB per formula unit. The calculation puts the volume at 20.8 Å³/atom.

=====

z:
A plane-wave DFT calculation with PBE-GGA was carried out for an optimized crystal structure of SrTc2Pt.

The structure belongs to space group R3m (No. 160, hexagonal axes); the cell edges are 4.2426, 4.2426 and 17.8137 Å and the angles 90.00°, 90.00° and 120.00°. Symmetry generates all atoms from Sr at (0.0000, 0.0000, 0.0000), Tc at (0.0000, 0.0000, 0.4799), Tc at (0.0000, 0.0000, 0.8094) and Pt at (0.0000, 0.0000, 0.2143).

For the spin magnetization, the calculation gives 0.0 μB per formula unit. The calculation puts the volume at 23.1 Å³/atom.

=====

Stability summary - winner: z; margin: 24.0 kJ/mol of atoms.

=====

w:
A plane-wave DFT calculation with PBE-GGA was carried out for an optimized crystal structure of SrTc2Pt.

The structure belongs to space group I-4m2 (No. 119); the cell edges are 4.701, 4.701 and 6.606 Å and the angles 90.00°, 90.00° and 90.00°. Symmetry generates all atoms from Sr at (0.000, 0.000, 0.000), Tc at (0.000, 0.000, 0.500), Tc at (0.000, 0.500, 0.250) and Pt at (0.000, 0.500, 0.750).

For the spin magnetization, the calculation gives 1.2 μB per formula unit. The calculation puts the volume at 18.2 Å³/atom.

=====

x:
A plane-wave DFT calculation with PBE-GGA was carried out for an optimized crystal structure of SrTc2Pt.

The structure belongs to space group C2/m (No. 12); the cell edges are 11.297, 2.836 and 5.084 Å and the angles 90.00°, 107.78° and 90.00°. Symmetry generates all atoms from Sr at (0.000, 0.000, 0.000), Tc at (0.217, 0.000, 0.676) and Pt at (0.000, 0.500, 0.500).

For the spin magnetization, the calculation gives 0.0 μB per formula unit. The calculation puts the volume at 19.4 Å³/atom.

=====

Stability summary - winner: x; margin: 21.0 kJ/mol of atoms.